Here is crystalline BC2 at its relaxed geometry from the Alexandria database. Energies are from GGA-PBE.

Summary:
* E_form: 0.427 eV/atom
* DFT total energy: -7.948 eV/atom
* energy above the lowest structure with this stoichiometry: 18.09 kJ per mole of atoms

a = 2.5216 Å, b = 8.1021 Å, c = 3.7329 Å
α = 90.00°, β = 90.00°, γ = 90.00°
Last column: nearest neighbours and their distance in Å.
Element x y z (fractional)
B 0.0000 0.0972 0.0825  1 C 1.61, 3 B 1.69-1.78
B 0.0000 0.9028 0.9175  1 C 1.61, 3 B 1.69-1.78
B 0.5000 0.0972 0.4175  1 C 1.61, 3 B 1.69-1.78
B 0.5000 0.9028 0.5825  1 C 1.61, 3 B 1.69-1.78
C 0.0000 0.2699 0.8699  3 C 1.55-1.56, 1 B 1.61
C 0.0000 0.4221 0.1279  4 C 1.56-1.58
C 0.0000 0.5779 0.8721  4 C 1.56-1.58
C 0.0000 0.7301 0.1301  3 C 1.55-1.56, 1 B 1.61
C 0.5000 0.2699 0.6301  3 C 1.55-1.56, 1 B 1.61
C 0.5000 0.4221 0.3721  4 C 1.56-1.58
C 0.5000 0.5779 0.6279  4 C 1.56-1.58
C 0.5000 0.7301 0.3699  3 C 1.55-1.56, 1 B 1.61



Here is crystalline UCo4Pt at its relaxed geometry from the Alexandria database. Energies are from GGA-PBE.

Summary:
* E_form: -0.220 eV/atom
* DFT total energy: -7.845 eV/atom

a = 4.8777 Å, b = 4.8777 Å, c = 4.8777 Å
α = 60.00°, β = 60.00°, γ = 60.00°
Last column: nearest neighbours and their distance in Å.
Element x y z (fractional)
U 0.0000 0.0000 0.0000  12 Co 2.86, 4 Pt 2.99
Co 0.3763 0.3763 0.3763  6 Co 2.41-2.46
Co 0.3763 0.3763 0.8710  6 Co 2.41-2.46
Co 0.3763 0.8710 0.3763  6 Co 2.41-2.46
Co 0.8710 0.3763 0.3763  6 Co 2.41-2.46
Pt 0.7500 0.7500 0.7500  12 Co 2.86, 4 U 2.99



Here is crystalline BaLiCe at its relaxed geometry from the Alexandria database. Energies are from GGA-PBE.

Summary:
* E_form: 0.167 eV/atom
* DFT total energy: -3.090 eV/atom

a = 3.9541 Å, b = 3.9541 Å, c = 13.6048 Å
α = 90.25°, β = 90.25°, γ = 86.66°
Last column: nearest neighbours and their distance in Å.
Element x y z (fractional)
Ba 0.2499 0.2499 0.2313  5 Li 3.70-3.88, 4 Ba 3.95, 3 Ce 3.99-4.07
Ba 0.7501 0.7501 0.7687  5 Li 3.70-3.88, 4 Ba 3.95, 3 Ce 3.99-4.07
Li 0.2504 0.2504 0.9590  4 Li 2.93-3.10
Li 0.7496 0.7496 0.0410  4 Li 2.93-3.10
Ce 0.2005 0.2005 0.5470  1 Ce 2.63
Ce 0.7995 0.7995 0.4530  1 Ce 2.63



Here is crystalline Sc2MnAu at its relaxed geometry from the Alexandria database. Energies are from GGA-PBE.

Summary:
* E_form: -0.304 eV/atom
* DFT total energy: -6.581 eV/atom

a = 3.3468 Å, b = 4.4897 Å, c = 5.4670 Å
α = 90.00°, β = 107.39°, γ = 90.00°
Last column: nearest neighbours and their distance in Å.
Element x y z (fractional)
Sc 0.0000 0.0000 0.0000  3 Mn 2.83-2.92, 4 Au 2.91-2.92
Sc 0.2993 0.5000 0.6059  3 Au 2.85-2.90, 4 Mn 2.90-2.91
Mn 0.7260 0.0000 0.4579  2 Au 2.75, 7 Sc 2.83-2.92
Au 0.5768 0.5000 0.1527  2 Mn 2.75, 7 Sc 2.85-2.92



Here is crystalline CaSm8Sb6 at its relaxed geometry from the Alexandria database. Energies are from GGA-PBE.

Summary:
* DFT total energy: -5.093 eV/atom

a = 9.5735 Å, b = 9.5735 Å, c = 9.5735 Å
α = 51.35°, β = 51.35°, γ = 51.35°
Last column: nearest neighbours and their distance in Å.
Element x y z (fractional)
Ca 0.0000 0.0000 0.0000  6 Sb 3.29
Sm 0.1230 0.7952 0.4460  3 Sb 3.05-3.08
Sm 0.2048 0.5540 0.8770  3 Sb 3.05-3.08
Sm 0.3333 0.3333 0.3333  6 Sb 3.23-3.24
Sm 0.4460 0.1230 0.7952  3 Sb 3.05-3.08
Sm 0.5540 0.8770 0.2048  3 Sb 3.05-3.08
Sm 0.6667 0.6667 0.6667  6 Sb 3.23-3.24
Sm 0.7952 0.4460 0.1230  3 Sb 3.05-3.08
Sm 0.8770 0.2048 0.5540  3 Sb 3.05-3.08
Sb 0.0678 0.4083 0.7307  5 Sm 3.05-3.24, 1 Ca 3.29
Sb 0.2693 0.9322 0.5917  5 Sm 3.05-3.24, 1 Ca 3.29
Sb 0.4083 0.7307 0.0678  5 Sm 3.05-3.24, 1 Ca 3.29
Sb 0.5917 0.2693 0.9322  5 Sm 3.05-3.24, 1 Ca 3.29
Sb 0.7307 0.0678 0.4083  5 Sm 3.05-3.24, 1 Ca 3.29
Sb 0.9322 0.5917 0.2693  5 Sm 3.05-3.24, 1 Ca 3.29



Here is crystalline TePd6Se2 at its relaxed geometry from the Alexandria database. Energies are from GGA-PBE.

Summary:
* DFT total energy: -4.749 eV/atom

a = 6.8860 Å, b = 6.8860 Å, c = 7.8886 Å
α = 117.75°, β = 117.75°, γ = 35.64°
Last column: nearest neighbours and their distance in Å.
Element x y z (fractional)
Te 0.0000 0.0000 0.0000  6 Pd 2.60-2.66
Pd 0.0447 0.0447 0.3673  2 Se 2.46-2.54, 1 Te 2.66
Pd 0.2767 0.2767 0.3956  2 Se 2.54
Pd 0.3838 0.3838 0.8091  1 Se 2.55, 2 Te 2.60
Pd 0.6162 0.6162 0.1909  1 Se 2.55, 2 Te 2.60
Pd 0.7233 0.7233 0.6044  2 Se 2.54
Pd 0.9553 0.9553 0.6327  2 Se 2.46-2.54, 1 Te 2.66
Se 0.1697 0.1697 0.7229  5 Pd 2.46-2.55
Se 0.8303 0.8303 0.2771  5 Pd 2.46-2.55



Here is crystalline LiGa2Hg4 at its relaxed geometry from the Alexandria database. Energies are from GGA-PBE.

Summary:
* E_form: 0.061 eV/atom
* DFT total energy: -1.249 eV/atom

a = 7.7482 Å, b = 7.7482 Å, c = 7.7482 Å
α = 140.71°, β = 140.71°, γ = 56.78°
Last column: nearest neighbours and their distance in Å.
Element x y z (fractional)
Li 0.0000 0.0000 0.0000  6 Hg 2.60-2.65
Ga 0.3951 0.3951 0.0000  5 Hg 2.74-2.97, 1 Ga 2.86
Ga 0.6049 0.6049 0.0000  5 Hg 2.74-2.97, 1 Ga 2.86
Hg 0.0000 0.5000 0.5000  2 Li 2.60
Hg 0.1941 0.1941 0.0000  1 Li 2.65, 1 Ga 2.74
Hg 0.5000 0.0000 0.5000  2 Li 2.60
Hg 0.8059 0.8059 0.0000  1 Li 2.65, 1 Ga 2.74



Here is crystalline BaGeAs at its relaxed geometry from the Alexandria database. Energies are from GGA-PBE.

Summary:
* E_form: -0.659 eV/atom
* DFT total energy: -4.389 eV/atom
* energy above the lowest structure with this stoichiometry: 0.00 kJ per mole of atoms

a = 4.6482 Å, b = 4.6482 Å, c = 4.7777 Å
α = 90.00°, β = 90.00°, γ = 120.00°
Last column: nearest neighbours and their distance in Å.
Element x y z (fractional)
Ba 0.0000 0.0000 0.0000  6 As 3.59, 6 Ge 3.59
Ge 0.3333 0.6667 0.5000  3 As 2.68
As 0.6667 0.3333 0.5000  3 Ge 2.68



Here is crystalline Zn2PtW at its relaxed geometry from the Alexandria database. Energies are from GGA-PBE.

Summary:
* E_form: 0.208 eV/atom
* DFT total energy: -5.177 eV/atom
* energy above the lowest structure with this stoichiometry: 30.87 kJ per mole of atoms

a = 4.3849 Å, b = 4.3849 Å, c = 4.3849 Å
α = 60.00°, β = 60.00°, γ = 60.00°
Last column: nearest neighbours and their distance in Å.
Element x y z (fractional)
Zn 0.2500 0.2500 0.2500  4 W 2.69, 4 Pt 2.69
Zn 0.7500 0.7500 0.7500  4 W 2.69, 4 Pt 2.69
Pt 0.0000 0.0000 0.0000  8 Zn 2.69
W 0.5000 0.5000 0.5000  8 Zn 2.69



Here is crystalline YThCo4 at its relaxed geometry from the Alexandria database. Energies are from GGA-PBE.

Summary:
* E_form: -0.175 eV/atom
* DFT total energy: -7.227 eV/atom
* energy above the lowest structure with this stoichiometry: 2.13 kJ per mole of atoms

a = 5.0749 Å, b = 5.0749 Å, c = 5.0749 Å
α = 60.00°, β = 60.00°, γ = 60.00°
Last column: nearest neighbours and their distance in Å.
Element x y z (fractional)
Y 0.0000 0.0000 0.0000  12 Co 2.97, 4 Th 3.11
Th 0.2500 0.2500 0.2500  12 Co 2.98, 4 Y 3.11
Co 0.1237 0.6254 0.6254  6 Co 2.53-2.55
Co 0.6254 0.1237 0.6254  6 Co 2.53-2.55
Co 0.6254 0.6254 0.1237  6 Co 2.53-2.55
Co 0.6254 0.6254 0.6254  6 Co 2.53-2.55



Here is crystalline CaBeTl2 at its relaxed geometry from the Alexandria database. Energies are from GGA-PBE.

Summary:
* E_form: 0.200 eV/atom
* DFT total energy: -2.415 eV/atom
* energy above the lowest structure with this stoichiometry: 12.94 kJ per mole of atoms

a = 4.7656 Å, b = 4.7656 Å, c = 4.2875 Å
α = 90.00°, β = 90.00°, γ = 90.00°
Last column: nearest neighbours and their distance in Å.
Element x y z (fractional)
Ca 0.0000 0.0000 0.0000  8 Tl 3.21, 4 Be 3.37
Be 0.5000 0.5000 0.0000  8 Tl 3.21, 4 Ca 3.37
Tl 0.0000 0.5000 0.5000  4 Be 3.21, 4 Ca 3.21, 4 Tl 3.37
Tl 0.5000 0.0000 0.5000  4 Be 3.21, 4 Ca 3.21, 4 Tl 3.37



Here is crystalline BaNa2BrO at its relaxed geometry from the Alexandria database. Energies are from GGA-PBE.

Summary:
* DFT total energy: -2.761 eV/atom

a = 4.9335 Å, b = 4.9335 Å, c = 7.7891 Å
α = 90.00°, β = 90.00°, γ = 90.00°
Last column: nearest neighbours and their distance in Å.
Element x y z (fractional)
Ba 0.0000 0.0000 0.0000  4 O 3.49
Na 0.0000 0.5000 0.5000  2 Br 2.47
Na 0.5000 0.0000 0.5000  2 Br 2.47
Br 0.5000 0.5000 0.5000  4 Na 2.47
O 0.5000 0.5000 0.0000  4 Ba 3.49, 2 Br 3.89



> Number 4 is which compound?

Sc2MnAu